## AlVI2O (PBE with a Hubbard U)

Data for a relaxed AlVI2O crystal.

The structure in CIF format:
```
data_AlVI2O
_space_group_name_H-M_alt 'P 4/m m m'
_space_group_IT_number 123
_space_group_name_Hall '-P 4 2'
_cell_length_a 5.7133
_cell_length_b 5.7133
_cell_length_c 3.5145
_cell_angle_alpha 90.00
_cell_angle_beta 90.00
_cell_angle_gamma 90.00
loop_
_atom_site_label
_atom_site_type_symbol
_atom_site_fract_x
_atom_site_fract_y
_atom_site_fract_z
_atom_site_occupancy
Al1 Al 0.0000 0.0000 0.0000 1
V1 V 0.5000 0.5000 0.5000 1
I1 I 0.0000 0.5000 0.0000 1
O1 O 0.0000 0.0000 0.5000 1
```

Properties
Energy above the most stable polymorph in this dataset: 51 meV/atom